YPWO2: relaxed, PBE with a Hubbard U.

Cell and atoms, written as extended XYZ:
```
5
Lattice="4.166 0.000 0.000 0.000 4.166 0.000 0.000 0.000 5.672" Properties=species:S:1:pos:R:3 pbc="T T T"
O 2.083 0.000 0.000
O 0.000 2.083 0.000
Y 0.000 0.000 0.000
W 2.083 2.083 2.836
P 0.000 0.000 2.836
```

Output
space-group type	P4/mmm (123)
energy above the lowest structure with this stoichiometry	980	meV/atom